A relaxed structure of Ac2TlSn3Pd4. Source: the Alexandria database, functional PBE-GGA.

Output
Size of the total moment = 0.00 Bohr magnetons per cell
DOS(E_F) = 4.570 states/eV/f.u.
Uncorrected energy = -5.0767 eV/atom
Space-group type = No. 115
Crystal system = tetragonal
Calculated density = 9.86 g/cm³
DFT formation energy = -0.74 eV per atom

a = 4.6864 Å, b = 4.6864 Å, c = 11.0453 Å
α = 90.00°, β = 90.00°, γ = 90.00°
Fractional coordinates of all 10 atoms:
1 Ac 0.0000 0.5000 0.2426
2 Ac 0.5000 0.0000 0.7574
3 Tl 0.0000 0.0000 0.5000
4 Sn 0.0000 0.5000 0.8787
5 Sn 0.5000 0.0000 0.1213
6 Sn 0.5000 0.5000 0.5000
7 Pd 0.0000 0.0000 0.0000
8 Pd 0.0000 0.5000 0.6394
9 Pd 0.5000 0.0000 0.3606
10 Pd 0.5000 0.5000 0.0000